Below is a relaxed Li2CrAgF6 crystal, with properties calculated at the GGA+U level.

The structure in extended XYZ format:
```
10
Lattice="-1.572 -4.668 -2.154 3.265 -2.606 -3.362 2.575 -4.923 1.925" Properties=species:S:1:pos:R:3 pbc="T T T"
Li 1.913 -5.815 -2.186
Li 2.471 -4.787 1.742
Cr 0.624 -2.498 -1.731
Ag 2.858 -8.733 -3.337
F 0.617 -4.457 -1.661
F 3.240 -4.856 -3.257
F 0.954 -6.966 -3.445
F 3.807 -7.378 -1.656
F 1.402 -7.603 -0.531
F 2.920 -5.502 0.002
```

Space-group type: P1 (1)
Spin magnetization in Bohr magnetons per cell: 2.89
Uncorrected energy in eV/atom: -5.0163